Compound: Cd6SnAu3
Source: Alexandria via LeMat-Bulk
Functional: GGA-PBE
Structure: relaxed

Output
Space-group type: P2_1/m
Formation energy from the elements (eV per atom): -0.119

The structure in POSCAR format:
```
Cd6SnAu3
1.0
4.678 0.000 0.000
0.000 8.398 -1.523
0.000 1.014 11.244
Cd Sn Au
12 2 6
direct
0.750 0.405 0.540
0.250 0.595 0.460
0.750 0.834 0.026
0.250 0.166 0.974
0.750 0.475 0.087
0.250 0.525 0.913
0.750 0.716 0.297
0.250 0.284 0.703
0.750 0.056 0.421
0.250 0.944 0.579
0.750 0.627 0.766
0.250 0.373 0.234
0.750 0.995 0.768
0.250 0.005 0.232
0.750 0.318 0.853
0.250 0.682 0.147
0.750 0.759 0.545
0.250 0.241 0.455
0.750 0.152 0.138
0.250 0.848 0.862
```